Entry 1:
The following is a DFT calculation (GGA-PBEsol) of a relaxed structure of BaMgSi.

abc: 4.6035 4.6035 7.7760
angles: 90.00 90.00 90.00
Positions (direct):
Ba: 0.2500 0.2500 0.1588
Ba: 0.7500 0.7500 0.8412
Mg: 0.2500 0.7500 0.5000
Mg: 0.7500 0.2500 0.5000
Si: 0.2500 0.2500 0.7060
Si: 0.7500 0.7500 0.2940

Properties
The calculation puts the uncorrected formation energy at -0.41 eV per atom. For the density of states at the Fermi level, the calculation gives 0.55 states/eV/cell. The total moment is 0.0 μB/f.u. The calculation puts the volume at 27.465 Å³ per atom.

***

Entry 2:
The following is a DFT calculation (GGA-PBEsol) of a relaxed structure of BaMgSn.

abc: 4.8871 4.8871 8.0837
angles: 90.00 90.00 90.00
Positions (direct):
Ba: 0.2500 0.2500 0.1677
Ba: 0.7500 0.7500 0.8323
Mg: 0.2500 0.7500 0.5000
Mg: 0.7500 0.2500 0.5000
Sn: 0.2500 0.2500 0.7143
Sn: 0.7500 0.7500 0.2857

Properties
For the density of states at the Fermi level, the calculation gives 0.52 states/eV/cell. Its formation energy is -1.8 eV/f.u. The total moment is 0.0 μB/f.u. The calculation puts the volume at 32.178 Å³ per atom.

***

Entry 3:
The following is a DFT calculation (GGA-PBEsol) of a relaxed structure of BaMg2Sn2.

abc: 4.8467 4.8467 12.1309
angles: 90.00 90.00 90.00
Positions (direct):
Ba: 0.2500 0.2500 0.2483
Ba: 0.7500 0.7500 0.7517
Mg: 0.2500 0.2500 0.8647
Mg: 0.2500 0.7500 0.5000
Mg: 0.7500 0.2500 0.5000
Mg: 0.7500 0.7500 0.1353
Sn: 0.2500 0.2500 0.6354
Sn: 0.2500 0.7500 0.0000
Sn: 0.7500 0.2500 0.0000
Sn: 0.7500 0.7500 0.3646

Properties
For the density of states at the Fermi level, the calculation gives 2.22 states/eV/cell. Its formation energy is -2.6 eV/f.u. The total moment is 0.0 μB/f.u. The calculation puts the volume at 28.496 Å³ per atom.

***

Entry 4:
The following is a DFT calculation (GGA-PBEsol) of a relaxed structure of BaMg3Sn.

abc: 5.5479 5.5479 5.5479
angles: 90.00 90.00 90.00
Positions (direct):
Ba: 0.0000 0.0000 0.0000
Mg: 0.0000 0.5000 0.5000
Mg: 0.5000 0.0000 0.5000
Mg: 0.5000 0.5000 0.0000
Sn: 0.5000 0.5000 0.5000

Properties
For the density of states at the Fermi level, the calculation gives 3.71 states/eV/cell. Its formation energy is 0.4 eV/f.u. The total moment is 0.0 μB/f.u. The calculation puts the volume at 34.151 Å³ per atom.